Record 1
Ta3NbAl | PBEsol | optimized geometry

The structure in POSCAR format:
```
Ta3NbAl
1.0
-3.3947 2.7299 1.5862
-2.4627 -3.7469 1.1779
1.9756 0.0199 4.1939
Ta Nb Al
3 1 1
Direct
0.5000 0.0000 0.0000
0.0000 0.5000 0.0000
0.0000 0.0000 0.5000
0.5000 0.5000 0.5000
0.0000 0.0000 0.0000
```

Results
Fermi-level density of states	3.83	states/eV/cell
energy relative to the elements	1358	meV/atom

***

Record 2
UC2 | PBEsol | optimized geometry

The structure in POSCAR format:
```
UC2
1.0
-2.4734 -1.7527 1.6697
0.2607 -0.5601 -3.7884
1.4103 -2.9835 -1.0426
U C
1 2
Direct
0.0000 0.0000 0.0000
0.6170 0.2341 0.3830
0.3830 0.7659 0.6170
```

Results
Fermi-level density of states	2.92	states/eV/cell
energy relative to the elements	-126	meV/atom

***

Record 3
K2TlSbBr6 | PBEsol | optimized geometry

The structure in POSCAR format:
```
K2TlSbBr6
1.0
-6.1088 5.4448 -0.2305
-4.6658 0.6358 -6.6964
-7.7738 -2.5605 0.1695
Br K Tl Sb
6 2 1 1
Direct
0.2392 0.7608 0.2392
0.2392 0.7608 0.7608
0.7608 0.2392 0.7608
0.7608 0.7608 0.2392
0.7608 0.2392 0.2392
0.2392 0.2392 0.7608
0.7500 0.7500 0.7500
0.2500 0.2500 0.2500
0.5000 0.5000 0.5000
0.0000 0.0000 0.0000
```

Results
E_tot	-31.00	eV/f.u.

***

Record 4
Cs2AlTlH6 | PBEsol | optimized geometry

The structure in POSCAR format:
```
Cs2AlTlH6
1.0
6.0897 0.0000 0.0000
3.0449 5.2739 0.0000
3.0449 1.7580 4.9723
H Cs Al Tl
6 2 1 1
Direct
0.2928 0.7072 0.7072
0.2928 0.7072 0.2928
0.7072 0.7072 0.2928
0.2928 0.2928 0.7072
0.7072 0.2928 0.2928
0.7072 0.2928 0.7072
0.7500 0.7500 0.7500
0.2500 0.2500 0.2500
0.5000 0.5000 0.5000
0.0000 0.0000 0.0000
```

Results
E_tot	-29.77	eV/f.u.

***

Record 5
TcGe2SbCl | PBEsol | optimized geometry

The structure in POSCAR format:
```
TcGe2SbCl
1.0
4.3472 0.0000 0.0000
0.0000 4.9804 0.0000
0.0000 0.0000 4.9804
Ge Tc Sb Cl
2 1 1 1
Direct
0.0000 0.0000 0.5000
0.0000 0.5000 0.0000
0.0000 0.0000 0.0000
0.5000 0.5000 0.5000
0.5000 0.0000 0.0000
```

Results
Fermi-level density of states	5.01	states/eV/cell
E_tot	-25.76	eV/f.u.

***

Record 6
OsPbNF2 | PBEsol | optimized geometry

The structure in POSCAR format:
```
OsPbNF2
1.0
-1.1937 3.2130 2.7309
-3.8566 -1.9797 0.6434
1.7041 -2.2263 3.3642
F Os N Pb
2 1 1 1
Direct
0.0000 0.5000 0.0000
0.5000 0.0000 0.0000
0.5000 0.5000 0.5000
0.0000 0.0000 0.5000
0.0000 0.0000 0.0000
```

Results
Fermi-level density of states	4.59	states/eV/cell
E_tot	-23.78	eV/f.u.

***

Record 7
Zn2CoTc | PBEsol | optimized geometry

The structure in POSCAR format:
```
Zn2CoTc
1.0
3.6270 0.0000 0.0000
0.0000 3.6270 0.0000
0.0000 0.0000 3.8684
Zn Tc Co
2 1 1
Direct
0.0000 0.5000 0.0000
0.5000 0.0000 0.0000
0.0000 0.0000 0.5000
0.5000 0.5000 0.5000
```

Results
Fermi-level density of states	3.71	states/eV/cell
E above lowest polymorph	165	meV per atom
energy relative to the elements	120	meV/atom

***

Record 8
LiNbO2 | PBEsol | optimized geometry

The structure in POSCAR format:
```
LiNbO2
1.0
2.9076 0.0000 0.0000
-1.4538 2.5181 0.0000
0.0000 0.0000 10.4224
Nb O Li
2 4 2
Direct
0.3333 0.6667 0.7500
0.6667 0.3333 0.2500
0.3333 0.6667 0.1223
0.6667 0.3333 0.8777
0.3333 0.6667 0.3777
0.6667 0.3333 0.6223
0.0000 0.0000 0.0000
0.0000 0.0000 0.5000
```

Results
Fermi-level density of states	0.00	states/eV/cell
E_tot	-32.89	eV/f.u.

***

Record 9
LiTm4Ge4 | PBEsol | optimized geometry

The structure in POSCAR format:
```
LiTm4Ge4
1.0
6.9568 0.0000 0.0000
0.0000 7.5212 0.0000
0.0000 0.0000 14.2932
Tm Li Ge
16 4 16
Direct
0.6714 0.8250 0.8720
0.1714 0.6750 0.8720
0.8286 0.3250 0.3720
0.3286 0.1750 0.1280
0.8286 0.3250 0.1280
0.5132 0.3137 0.9037
0.4868 0.6863 0.0963
0.4868 0.6863 0.4037
0.9868 0.8137 0.4037
0.5132 0.3137 0.5963
0.3286 0.1750 0.3720
0.0132 0.1863 0.5963
0.0132 0.1863 0.9037
0.1714 0.6750 0.6280
0.9868 0.8137 0.0963
0.6714 0.8250 0.6280
0.1598 0.5231 0.2500
0.8402 0.4769 0.7500
0.3402 0.0231 0.7500
0.6598 0.9769 0.2500
0.6686 0.0343 0.4629
0.4836 0.5853 0.7500
0.1686 0.4657 0.4629
0.1686 0.4657 0.0371
0.2146 0.3602 0.7500
0.3314 0.9657 0.9629
0.6686 0.0343 0.0371
0.5164 0.4147 0.2500
0.9836 0.9147 0.7500
0.8314 0.5343 0.5371
0.0164 0.0853 0.2500
0.2854 0.8602 0.2500
0.8314 0.5343 0.9629
0.7146 0.1398 0.7500
0.7854 0.6398 0.2500
0.3314 0.9657 0.5371
```

Results
Fermi-level density of states	12.75	states/eV/cell
energy relative to the elements	-862	meV/atom

***

Record 10
Er2Mn2O7 | PBEsol | optimized geometry

The structure in POSCAR format:
```
Er2Mn2O7
1.0
6.9271 0.0000 0.0000
3.4636 5.9991 0.0000
3.4636 1.9997 5.6560
O Mn Er
14 4 4
Direct
0.0000 0.0000 0.0000
0.7048 0.2952 0.2952
0.7048 0.2952 0.7048
0.9548 0.9548 0.5452
0.7048 0.7048 0.2952
0.2952 0.7048 0.7048
0.2952 0.7048 0.2952
0.5452 0.9548 0.5452
0.5452 0.9548 0.9548
0.9548 0.5452 0.5452
0.9548 0.5452 0.9548
0.5452 0.5452 0.9548
0.2952 0.2952 0.7048
0.2500 0.2500 0.2500
0.6250 0.6250 0.1250
0.6250 0.6250 0.6250
0.1250 0.6250 0.6250
0.6250 0.1250 0.6250
0.6250 0.1250 0.1250
0.1250 0.1250 0.1250
0.1250 0.6250 0.1250
0.1250 0.1250 0.6250
```

Results
E_tot	-95.42	eV/f.u.

***

Record 11
Mn2TlAuI | PBEsol | optimized geometry

The structure in POSCAR format:
```
Mn2TlAuI
1.0
5.1357 0.0000 0.0000
0.0000 5.1357 0.0000
0.0000 0.0000 5.9528
I Mn Tl Au
1 2 1 1
Direct
0.0000 0.0000 0.5000
0.5000 0.0000 0.0000
0.0000 0.5000 0.0000
0.0000 0.0000 0.0000
0.5000 0.5000 0.5000
```

Results
Fermi-level density of states	3.06	states/eV/cell
E_tot	-20.87	eV/f.u.

***

Record 12
Li2CoSnO4 | PBEsol | optimized geometry

The structure in POSCAR format:
```
Li2CoSnO4
1.0
-1.6844 0.7891 -5.6172
-5.9089 0.0649 -1.3356
-2.6183 5.2245 -1.5975
O Li Co Sn
8 4 2 2
Direct
0.7380 0.7517 0.7723
0.2620 0.7277 0.7483
0.7441 0.2498 0.7498
0.2620 0.2483 0.2277
0.7380 0.2723 0.2517
0.7438 0.7502 0.2502
0.2562 0.2498 0.7498
0.2559 0.7502 0.2502
0.0000 0.0000 0.0000
0.0000 0.5000 0.5000
0.0000 0.0000 0.5000
0.5000 0.0000 0.5000
0.0000 0.5000 0.0000
0.5000 0.5000 0.0000
0.5000 0.5000 0.5000
0.5000 0.0000 0.0000
```

Results
Fermi-level density of states	9.35	states/eV/cell
E above lowest polymorph	0	meV per atom

***

Question: Number 9 is which compound?
Answer: LiTm4Ge4